{
  "formula": "Gd2NiSn",
  "functional": "GGA-PBE",
  "state": "optimized geometry",
  "lattice_angstrom": [[3.463, 0.000, 0.000], [0.000, 3.463, 0.000], [0.000, 0.000, 7.871]],
  "species": ["Gd", "Gd", "Ni", "Sn"],
  "fractional_positions": [[0.000, 0.000, 0.213], [0.000, 0.000, 0.787], [0.500, 0.500, 0.000], [0.500, 0.500, 0.500]],
  "mass_density_g_cm3": 8.66,
  "dos_at_fermi_per_ev_fu": 3.3,
  "e_tot_ry_per_atom": -0.7341,
  "spacegroup": "P4/mmm",
  "magmom_total_mub_per_cell": 14.4
}

=====

{
  "formula": "Gd2NiSn",
  "functional": "GGA-PBE",
  "state": "optimized geometry",
  "lattice_angstrom": [[1.883, 1.087, 9.600], [-1.883, 1.087, 9.600], [0.000, -2.174, 9.600]],
  "species": ["Gd", "Gd", "Ni", "Sn"],
  "fractional_positions": [[0.110, 0.110, 0.110], [0.890, 0.890, 0.890], [0.500, 0.500, 0.500], [0.000, 0.000, 0.000]],
  "mass_density_g_cm3": 6.93,
  "dos_at_fermi_per_ev_fu": 4.3,
  "e_tot_ry_per_atom": -0.7031,
  "spacegroup": "R-3m",
  "magmom_total_mub_per_cell": 14.6
}

=====

{
  "formula": "GdNi2Sn",
  "functional": "GGA-PBE",
  "state": "optimized geometry",
  "lattice_angstrom": [[4.527, 0.000, 0.000], [0.000, 4.527, 0.000], [0.000, 0.000, 3.483]],
  "species": ["Gd", "Ni", "Ni", "Sn"],
  "fractional_positions": [[0.000, 0.000, 0.000], [0.000, 0.500, 0.500], [0.500, 0.000, 0.500], [0.500, 0.500, 0.000]],
  "mass_density_g_cm3": 9.15,
  "dos_at_fermi_per_ev_fu": 2.4,
  "e_tot_ry_per_atom": -0.5666,
  "spacegroup": "P4/mmm",
  "magmom_total_mub_per_cell": 7.2
}

=====

{
  "formula": "GdTmNiSn",
  "functional": "GGA-PBE",
  "state": "optimized geometry",
  "lattice_angstrom": [[0.000, 3.594, 3.594], [3.594, 0.000, 3.594], [3.594, 3.594, 0.000]],
  "species": ["Gd", "Tm", "Ni", "Sn"],
  "fractional_positions": [[0.000, 0.000, 0.000], [0.500, 0.500, 0.500], [0.250, 0.250, 0.250], [0.750, 0.750, 0.750]],
  "mass_density_g_cm3": 9.01,
  "dos_at_fermi_per_ev_fu": 1.9,
  "e_tot_ry_per_atom": -0.5533,
  "spacegroup": "F-43m",
  "magmom_total_mub_per_cell": 7.1
}

=====

{
  "formula": "GdYNiSn",
  "functional": "GGA-PBE",
  "state": "optimized geometry",
  "lattice_angstrom": [[0.000, 3.623, 3.623], [3.623, 0.000, 3.623], [3.623, 3.623, 0.000]],
  "species": ["Gd", "Y", "Ni", "Sn"],
  "fractional_positions": [[0.000, 0.000, 0.000], [0.500, 0.500, 0.500], [0.250, 0.250, 0.250], [0.750, 0.750, 0.750]],
  "mass_density_g_cm3": 7.40,
  "dos_at_fermi_per_ev_fu": 2.3,
  "e_tot_ry_per_atom": -0.5903,
  "spacegroup": "F-43m",
  "magmom_total_mub_per_cell": 7.2
}

=====

{
  "formula": "SrGdNi4",
  "functional": "GGA-PBE",
  "state": "optimized geometry",
  "lattice_angstrom": [[0.000, 3.656, 3.656], [3.656, 0.000, 3.656], [3.656, 3.656, 0.000]],
  "species": ["Sr", "Gd", "Ni", "Ni", "Ni", "Ni"],
  "fractional_positions": [[0.000, 0.000, 0.000], [0.250, 0.250, 0.250], [0.127, 0.624, 0.624], [0.624, 0.127, 0.624], [0.624, 0.624, 0.127], [0.624, 0.624, 0.624]],
  "mass_density_g_cm3": 8.15,
  "dos_at_fermi_per_ev_fu": 6.5,
  "e_tot_ry_per_atom": -0.4890,
  "spacegroup": "F-43m",
  "magmom_total_mub_per_cell": 7.2
}

=====

{
  "formula": "SrGdNi2",
  "functional": "GGA-PBE",
  "state": "optimized geometry",
  "lattice_angstrom": [[3.520, 0.000, 0.000], [0.000, 3.520, 0.000], [0.000, 0.000, 7.103]],
  "species": ["Sr", "Gd", "Ni", "Ni"],
  "fractional_positions": [[0.000, 0.000, 0.000], [0.000, 0.000, 0.500], [0.500, 0.500, 0.303], [0.500, 0.500, 0.697]],
  "mass_density_g_cm3": 6.84,
  "dos_at_fermi_per_ev_fu": 1.8,
  "e_tot_ry_per_atom": -0.5126,
  "spacegroup": "P4/mmm",
  "magmom_total_mub_per_cell": 7.1
}

=====

{
  "formula": "SrGd3Ni",
  "functional": "GGA-PBE",
  "state": "optimized geometry",
  "lattice_angstrom": [[5.487, 0.000, 0.000], [0.000, 5.487, 0.000], [0.000, 0.000, 5.487]],
  "species": ["Sr", "Gd", "Gd", "Gd", "Ni"],
  "fractional_positions": [[0.000, 0.000, 0.000], [0.000, 0.500, 0.500], [0.500, 0.000, 0.500], [0.500, 0.500, 0.000], [0.500, 0.500, 0.500]],
  "mass_density_g_cm3": 6.21,
  "dos_at_fermi_per_ev_fu": 9.6,
  "e_tot_ry_per_atom": -0.7343,
  "spacegroup": "Pm-3m",
  "magmom_total_mub_per_cell": 22.7
}

=====

{
  "formula": "GdTaNi4",
  "functional": "GGA-PBE",
  "state": "optimized geometry",
  "lattice_angstrom": [[0.000, 3.499, 3.499], [3.499, 0.000, 3.499], [3.499, 3.499, 0.000]],
  "species": ["Gd", "Ta", "Ni", "Ni", "Ni", "Ni"],
  "fractional_positions": [[0.000, 0.000, 0.000], [0.250, 0.250, 0.250], [0.127, 0.624, 0.624], [0.624, 0.127, 0.624], [0.624, 0.624, 0.127], [0.624, 0.624, 0.624]],
  "mass_density_g_cm3": 11.11,
  "dos_at_fermi_per_ev_fu": 5.9,
  "e_tot_ry_per_atom": -0.6135,
  "spacegroup": "F-43m",
  "magmom_total_mub_per_cell": 7.2
}

=====

{
  "formula": "TbGd3Ni",
  "functional": "GGA-PBE",
  "state": "optimized geometry",
  "lattice_angstrom": [[5.360, 0.000, 0.000], [0.000, 5.360, 0.000], [0.000, 0.000, 5.360]],
  "species": ["Tb", "Gd", "Gd", "Gd", "Ni"],
  "fractional_positions": [[0.000, 0.000, 0.000], [0.000, 0.500, 0.500], [0.500, 0.000, 0.500], [0.500, 0.500, 0.000], [0.500, 0.500, 0.500]],
  "mass_density_g_cm3": 7.44,
  "dos_at_fermi_per_ev_fu": 7.0,
  "e_tot_ry_per_atom": -0.7759,
  "spacegroup": "Pm-3m",
  "magmom_total_mub_per_cell": 23.3
}

=====

{
  "formula": "TbGdNi4",
  "functional": "GGA-PBE",
  "state": "optimized geometry",
  "lattice_angstrom": [[0.000, 3.596, 3.596], [3.596, 0.000, 3.596], [3.596, 3.596, 0.000]],
  "species": ["Tb", "Gd", "Ni", "Ni", "Ni", "Ni"],
  "fractional_positions": [[0.000, 0.000, 0.000], [0.750, 0.750, 0.750], [0.375, 0.375, 0.375], [0.375, 0.375, 0.875], [0.375, 0.875, 0.375], [0.875, 0.375, 0.375]],
  "mass_density_g_cm3": 9.83,
  "dos_at_fermi_per_ev_fu": 3.6,
  "e_tot_ry_per_atom": -0.5436,
  "spacegroup": "F-43m",
  "magmom_total_mub_per_cell": 7.1
}

=====

{
  "formula": "TbGdNi2",
  "functional": "GGA-PBE",
  "state": "optimized geometry",
  "lattice_angstrom": [[4.839, 0.000, 0.000], [0.000, 4.839, 0.000], [0.000, 0.000, 3.356]],
  "species": ["Tb", "Gd", "Ni", "Ni"],
  "fractional_positions": [[0.000, 0.000, 0.000], [0.500, 0.500, 0.000], [0.000, 0.500, 0.500], [0.500, 0.000, 0.500]],
  "mass_density_g_cm3": 9.16,
  "dos_at_fermi_per_ev_fu": 3.1,
  "polymorph_energy_ev_per_atom": 0.000,
  "e_tot_ry_per_atom": -0.5823,
  "spacegroup": "P4/mmm",
  "magmom_total_mub_per_cell": 7.1
}

=====

{
  "formula": "TbGdNi2",
  "functional": "GGA-PBE",
  "state": "optimized geometry",
  "lattice_angstrom": [[1.970, 1.137, 6.443], [-1.970, 1.137, 6.443], [0.000, -2.275, 6.443]],
  "species": ["Tb", "Gd", "Ni", "Ni"],
  "fractional_positions": [[0.000, 0.000, 0.000], [0.500, 0.500, 0.500], [0.251, 0.251, 0.251], [0.749, 0.749, 0.749]],
  "mass_density_g_cm3": 8.31,
  "dos_at_fermi_per_ev_fu": 2.5,
  "polymorph_energy_ev_per_atom": 0.141,
  "e_tot_ry_per_atom": -0.5720,
  "spacegroup": "R-3m",
  "magmom_total_mub_per_cell": 7.2
}

=====

{
  "formula": "TbGdNi2",
  "functional": "GGA-PBE",
  "state": "optimized geometry",
  "lattice_angstrom": [[0.000, 3.401, 3.401], [3.401, 0.000, 3.401], [3.401, 3.401, 0.000]],
  "species": ["Tb", "Gd", "Ni", "Ni"],
  "fractional_positions": [[0.000, 0.000, 0.000], [0.500, 0.500, 0.500], [0.250, 0.250, 0.250], [0.750, 0.750, 0.750]],
  "mass_density_g_cm3": 9.15,
  "dos_at_fermi_per_ev_fu": 4.2,
  "polymorph_energy_ev_per_atom": 0.003,
  "e_tot_ry_per_atom": -0.5820,
  "spacegroup": "Fm-3m",
  "magmom_total_mub_per_cell": 7.2
}

=====

{
  "formula": "TbGdTcNi",
  "functional": "GGA-PBE",
  "state": "optimized geometry",
  "lattice_angstrom": [[0.000, 3.419, 3.419], [3.419, 0.000, 3.419], [3.419, 3.419, 0.000]],
  "species": ["Tb", "Gd", "Tc", "Ni"],
  "fractional_positions": [[0.000, 0.000, 0.000], [0.500, 0.500, 0.500], [0.750, 0.750, 0.750], [0.250, 0.250, 0.250]],
  "mass_density_g_cm3": 9.83,
  "dos_at_fermi_per_ev_fu": 3.4,
  "e_tot_ry_per_atom": -0.6462,
  "spacegroup": "F-43m",
  "magmom_total_mub_per_cell": 7.0
}